# 1
DFT (PBE) results for a relaxed structure of LaSb2F.

a b c (Å): 4.194 4.194 12.327
angles (deg): 80.20 80.20 90.00
Element x y z (fractional)
F 0.500 0.500 0.000
La 0.000 0.000 0.000
Sb 0.635 0.125 0.250
F 0.250 0.750 0.500
Sb 0.375 0.365 0.750
Sb 0.875 0.885 0.750
La 0.750 0.250 0.500
Sb 0.115 0.625 0.250

Computed properties:
The energy above the lowest structure with this stoichiometry is 0.0 meV/atom. For the density of states at the Fermi level, the calculation gives 0.49 states/eV/cell. For the formation energy from raw total energies, the calculation gives -1.30 eV per atom. As for the total moment: 0.000 μB per cell. The space group is I-42d, No. 122.

# 2
DFT (PBE) results for a relaxed structure of TlCdGa2Cl8.

a b c (Å): 6.677 6.677 10.250
angles (deg): 70.99 70.99 60.00
Element x y z (fractional)
Cl 0.563 0.308 0.190
Cl 0.061 0.437 0.810
Cl 0.692 0.061 0.810
Tl 0.500 0.500 0.500
Ga 0.245 0.245 0.265
Cl 0.168 0.168 0.496
Cl 0.832 0.832 0.504
Cl 0.437 0.692 0.810
Cl 0.308 0.939 0.190
Cd 0.000 0.000 0.000
Ga 0.755 0.755 0.735
Cl 0.939 0.563 0.190

Computed properties:
For the density of states at the Fermi level, the calculation gives 2.84 states/eV/cell. For the formation energy from raw total energies, the calculation gives -1.01 eV per atom. As for the total moment: 1.002 μB per cell. The space group is R-3, No. 148.

# 3
DFT (PBE) results for a relaxed structure of HoErMgCu.

a b c (Å): 5.090 5.090 5.090
angles (deg): 60.00 60.00 60.00
Element x y z (fractional)
Cu 0.250 0.250 0.250
Ho 0.000 0.000 0.000
Er 0.500 0.500 0.500
Mg 0.750 0.750 0.750

Computed properties:
For the calculated formation energy, the calculation gives -0.27 eV per formula unit. The energy above the lowest structure with this stoichiometry is 88.4 meV/atom. For the density of states at the Fermi level, the calculation gives 3.81 states/eV/cell. As for the total moment: 0.000 μB per cell. The space group is F-43m, No. 216.